Ba2Ac3Pb4 | PBE | relaxed

Unit cell a=8.1487 b=9.7690 c=10.3309 alpha=90.00 beta=113.23 gamma=90.00
Closest atoms and distances in Å follow each position.
Sites, in units of the cell vectors:
Ba  0.1067  0.5833  0.2134  6 Pb 3.76-4.11
Ba  0.8933  0.4167  0.7866  6 Pb 3.76-4.11
Ba  0.3933  0.0833  0.7866  6 Pb 3.76-4.11
Ba  0.6067  0.9167  0.2134  6 Pb 3.76-4.11
Ac  0.0000  0.0000  0.0000  6 Pb 3.25-3.58
Ac  0.5000  0.5000  0.0000  6 Pb 3.25-3.58
Ac  0.5383  0.7500  0.5765  5 Pb 3.33-3.56
Ac  0.9617  0.2500  0.4235  5 Pb 3.33-3.56
Ac  0.4617  0.2500  0.4235  5 Pb 3.33-3.56
Ac  0.0383  0.7500  0.5765  5 Pb 3.33-3.56
Pb  0.7139  0.7500  0.9277  3 Ac 3.25-3.33
Pb  0.7861  0.2500  0.0723  3 Ac 3.25-3.33
Pb  0.2861  0.2500  0.0723  3 Ac 3.25-3.33
Pb  0.2139  0.7500  0.9277  3 Ac 3.25-3.33
Pb  0.1872  0.9544  0.3743  5 Ac 3.44-3.58
Pb  0.8128  0.0456  0.6257  5 Ac 3.44-3.58
Pb  0.3128  0.4544  0.6257  5 Ac 3.44-3.58
Pb  0.6872  0.5456  0.3743  5 Ac 3.44-3.58

Output
Crystal system   orthorhombic
Relative energy among the computed polymorphs   0.1176 eV/atom
VASP energy   -3.90 eV per atom
Space-group type   No. 64
ΔH_f (0 K)   -0.456 eV/atom